(1)
Crystalline SrPaAl at its relaxed geometry, computed with PBE-GGA.

extended XYZ file:
```
3
Lattice="0.0000 3.6712 3.6712 3.6712 0.0000 3.6712 3.6712 3.6712 0.0000" Properties=species:S:1:pos:R:3 pbc="T T T"
Al 0.0000 0.0000 0.0000
Pa 1.8356 1.8356 1.8356
Sr 5.5068 5.5068 5.5068
```

Values from the calculation:
magnetization = 1.98 μB per formula unit
final energy = -4.27 eV per atom

***

(2)
Crystalline PPt at its relaxed geometry, computed with PBE-GGA.

extended XYZ file:
```
2
Lattice="1.7571 1.0144 2.9631 -1.7571 1.0144 2.9631 0.0000 -2.0289 2.9631" Properties=species:S:1:pos:R:3 pbc="T T T"
P 0.0000 0.0000 0.0000
Pt 0.0000 0.0000 4.4446
```

Values from the calculation:
magnetization = 0.00 μB per formula unit
final energy = -5.89 eV per atom

***

(3)
Crystalline DyHo4Hg5 at its relaxed geometry, computed with PBE-GGA.

extended XYZ file:
```
10
Lattice="-3.1516 -0.7554 1.7725 1.9226 -1.0106 2.9879 -0.6319 17.4031 6.2928" Properties=species:S:1:pos:R:3 pbc="T T T"
Dy 0.0000 0.0000 0.0000
Hg -0.6783 0.8738 3.0154
Hg -0.8042 4.3425 4.2697
Hg -0.9304 7.8186 5.5266
Hg -1.0566 11.2947 6.7835
Hg -1.1826 14.7634 8.0377
Ho -0.1267 3.4896 1.2618
Ho -0.2529 6.9646 2.5183
Ho -0.3790 10.4385 3.7745
Ho -0.5052 13.9135 5.0310
```

Values from the calculation:
magnetization = 0.04 μB per formula unit
ΔE_f = -4.83 eV per formula unit

***

(4)
Crystalline KZrCuS3 at its relaxed geometry, computed with PBE-GGA.

extended XYZ file:
```
12
Lattice="-5.1017 0.9206 -5.1897 3.7344 -4.3595 4.5670 -6.7937 1.4455 6.9350" Properties=species:S:1:pos:R:3 pbc="T T T"
Cu -2.6828 -1.1784 1.0904
Cu -5.4783 -0.8150 5.2219
K -0.2164 -2.6522 3.8138
K -7.9447 0.6589 2.4985
S -2.1246 -0.9993 -1.1245
S -6.2289 0.9406 -2.8251
S -4.7893 -0.4323 1.5957
S -3.3718 -1.5611 4.7166
S -1.9322 -2.9340 9.1374
S -6.0365 -0.9941 7.4368
Zr 0.0000 0.0000 0.0000
Zr -3.3969 0.7228 3.4675
```

Values from the calculation:
magnetization = 0.00 μB per formula unit
final energy = -5.56 eV per atom

***

(5)
Crystalline KNaTh at its relaxed geometry, computed with PBE-GGA.

extended XYZ file:
```
3
Lattice="0.0000 4.1156 4.1156 4.1156 0.0000 4.1156 4.1156 4.1156 0.0000" Properties=species:S:1:pos:R:3 pbc="T T T"
K 0.0000 0.0000 0.0000
Na 2.0578 2.0578 2.0578
Th 6.1734 6.1734 6.1734
```

Values from the calculation:
magnetization = 2.47 μB per formula unit
final energy = -1.75 eV per atom

***

(6)
Crystalline Pm3PbC at its relaxed geometry, computed with PBE-GGA.

extended XYZ file:
```
5
Lattice="-2.8474 0.2521 4.2044 1.0503 -4.8721 1.0034 4.0788 1.4306 2.6766" Properties=species:S:1:pos:R:3 pbc="T T T"
C 0.0000 0.0000 0.0000
Pb 1.1409 -1.5947 3.9422
Pm -1.4237 0.1260 2.1022
Pm 0.5252 -2.4361 0.5017
Pm 2.0394 0.7153 1.3383
```

Values from the calculation:
magnetization = 0.01 μB per formula unit
final energy = -5.88 eV per atom

***

(7)
Crystalline Tm2ReO4 at its relaxed geometry, computed with PBE-GGA.

extended XYZ file:
```
14
Lattice="2.1516 2.9142 5.5402 -2.0529 3.6906 -5.0971 -4.3769 -3.4895 3.5328" Properties=species:S:1:pos:R:3 pbc="T T T"
O -0.8389 1.2692 3.6115
O -2.9364 1.9761 -1.6858
O -1.9647 3.2925 0.8178
O -2.0675 -0.0237 0.8144
O -2.8164 -0.3073 5.2083
O -4.9721 0.0671 0.1077
O -4.0449 -1.6002 2.4111
O -4.0003 1.3835 2.6113
Re 0.0000 0.0000 0.0000
Re -0.5070 3.1586 2.4898
Tm -1.2799 3.4246 -1.3037
Tm -3.4684 1.6798 0.4628
Tm -1.3661 1.2916 5.7814
Tm -2.4419 -0.1655 3.0113
```

Values from the calculation:
magnetization = 5.00 μB per formula unit
final energy = -8.01 eV per atom

***

(8)
Crystalline Tm8Re at its relaxed geometry, computed with PBE-GGA.

extended XYZ file:
```
9
Lattice="-3.1352 -3.2495 7.6987 -0.3815 -4.9489 -7.4177 3.2811 -1.3816 0.7530" Properties=species:S:1:pos:R:3 pbc="T T T"
Re 0.0000 0.0000 0.0000
Tm -1.9982 -2.0710 4.9067
Tm -1.2754 -2.9732 0.1019
Tm -0.2432 -3.1541 -4.7276
Tm 0.8610 -1.4987 2.2907
Tm 1.5457 -1.9213 -1.4678
Tm -0.5767 -4.5067 3.0364
Tm 0.3411 -5.0732 -2.0024
Tm -1.0018 -6.8508 0.5877
```

Values from the calculation:
magnetization = 0.03 μB per formula unit
ΔE_f = 0.39 eV per formula unit

***

(9)
Crystalline TlNiB4 at its relaxed geometry, computed with PBE-GGA.

extended XYZ file:
```
6
Lattice="-1.4942 2.7044 3.8787 1.4942 -2.7044 3.8787 1.4942 2.7044 -3.8787" Properties=species:S:1:pos:R:3 pbc="T T T"
B 0.0000 1.8435 2.0480
B 1.4942 -0.8609 1.8307
B 0.0000 3.5653 2.0480
B 1.4942 0.8609 1.8307
Ni 0.0000 0.0000 0.0000
Tl 0.0000 0.0000 3.8787
```

Values from the calculation:
magnetization = 0.00 μB per formula unit
final energy = -5.10 eV per atom

***

(10)
Crystalline HoZr2 at its relaxed geometry, computed with PBE-GGA.

extended XYZ file:
```
12
Lattice="17.3312 0.0000 0.0000 0.0000 3.3242 0.0000 0.0000 0.0000 5.2814" Properties=species:S:1:pos:R:3 pbc="T T T"
Ho 5.7812 0.0000 0.0000
Ho 14.4464 1.6621 0.0000
Ho 1.9219 0.0000 2.6407
Ho 10.5870 1.6621 2.6407
Zr 0.0468 0.0000 0.0000
Zr 11.5616 0.0000 0.0000
Zr 2.9000 1.6621 0.0000
Zr 8.7134 1.6621 0.0000
Zr 7.6549 0.0000 2.6407
Zr 13.4683 0.0000 2.6407
Zr 4.8067 1.6621 2.6407
Zr 16.3215 1.6621 2.6407
```

Values from the calculation:
magnetization = 0.00 μB per formula unit
ΔE_f = 0.18 eV per formula unit

***

(11)
Crystalline NaLaSnPt at its relaxed geometry, computed with PBE-GGA.

extended XYZ file:
```
4
Lattice="2.9910 0.6490 3.9823 1.3866 4.6284 1.3715 -1.8336 2.0257 4.2143" Properties=species:S:1:pos:R:3 pbc="T T T"
La 1.2720 3.6515 4.7840
Na 1.9080 5.4773 7.1760
Pt 0.6360 1.8258 2.3920
Sn 0.0000 0.0000 0.0000
```

Values from the calculation:
magnetization = 0.00 μB per formula unit
final energy = -4.76 eV per atom

***

(12)
Crystalline Nd2Sm2C2Br4F at its relaxed geometry, computed with PBE-GGA.

extended XYZ file:
```
11
Lattice="9.6016 -1.8911 0.0000 9.6016 1.8911 0.0000 -1.7105 0.0000 7.4717" Properties=species:S:1:pos:R:3 pbc="T T T"
Br 15.9020 0.0000 0.8799
Br 2.7268 0.0000 2.3699
Br 14.7659 0.0000 5.1018
Br 1.5907 0.0000 6.5917
C 8.0657 0.0000 3.5739
C 9.4271 0.0000 3.8977
F 9.6016 0.0000 0.0000
Nd -0.4628 0.0000 2.0470
Nd 17.9555 0.0000 5.4247
Sm 5.9202 0.0000 3.0113
Sm 11.5725 0.0000 4.4604
```

Values from the calculation:
magnetization = 0.01 μB per formula unit
final energy = -5.71 eV per atom

***

(13)
Crystalline AcTb2 at its relaxed geometry, computed with PBE-GGA.

extended XYZ file:
```
6
Lattice="5.3786 3.1054 8.7833 -5.3786 3.1054 8.7833 0.0000 -6.2107 8.7833" Properties=species:S:1:pos:R:3 pbc="T T T"
Ac 0.0000 0.0000 6.5875
Ac 0.0000 0.0000 13.1750
Tb 2.6893 1.5527 14.2728
Tb -2.6893 1.5527 14.2728
Tb 0.0000 0.0000 9.8812
Tb 0.0000 -3.1054 14.2728
```

Values from the calculation:
magnetization = 8.92 μB per formula unit
ΔE_f = 10.19 eV per formula unit

***

(14)
Crystalline ScAgTe3Pb at its relaxed geometry, computed with PBE-GGA.

extended XYZ file:
```
24
Lattice="13.0822 0.0000 0.0000 0.0000 4.3305 0.0000 0.0000 0.0000 12.6441" Properties=species:S:1:pos:R:3 pbc="T T T"
Ag 3.4157 3.2479 2.3265
Ag 9.9568 3.2479 3.9956
Ag 3.1254 1.0826 8.6486
Ag 9.6664 1.0826 10.3176
Pb 4.3089 1.0826 0.0359
Pb 10.8500 1.0826 6.2861
Pb 2.2321 3.2479 6.3580
Pb 8.7732 3.2479 12.6082
Sc 12.6203 1.0826 2.1566
Sc 6.0792 1.0826 4.1655
Sc 7.0029 3.2479 8.4787
Sc 0.4619 3.2479 10.4875
Te 1.0909 3.2479 0.8663
Te 6.2158 3.2479 1.9740
Te 9.7479 1.0826 2.1336
Te 3.2068 1.0826 4.1884
Te 12.7569 3.2479 4.3481
Te 7.6320 3.2479 5.4558
Te 5.4502 1.0826 7.1884
Te 0.3253 1.0826 8.2961
Te 9.8753 3.2479 8.4557
Te 3.3342 3.2479 10.5105
Te 6.8664 1.0826 10.6702
Te 11.9913 1.0826 11.7778
```

Values from the calculation:
magnetization = 0.00 μB per formula unit
final energy = -4.27 eV per atom

***

(15)
Crystalline MgCuTcSn at its relaxed geometry, computed with PBE-GGA.

extended XYZ file:
```
4
Lattice="0.0000 3.1980 3.1980 3.1980 0.0000 3.1980 3.1980 3.1980 0.0000" Properties=species:S:1:pos:R:3 pbc="T T T"
Cu 4.7970 4.7970 4.7970
Mg 3.1980 3.1980 3.1980
Sn 0.0000 0.0000 0.0000
Tc 1.5990 1.5990 1.5990
```

Values from the calculation:
magnetization = 0.00 μB per formula unit
final energy = -4.78 eV per atom

***

(16)
Crystalline GdEr2Tm5 at its relaxed geometry, computed with PBE-GGA.

extended XYZ file:
```
8
Lattice="5.5395 0.0000 0.0000 0.0000 3.5610 6.1678 0.0000 -3.5610 6.1678" Properties=species:S:1:pos:R:3 pbc="T T T"
Er 0.0000 0.0000 4.1183
Er 2.7698 0.0000 8.2201
Gd 0.0000 0.0000 10.2807
Tm 2.7698 0.0000 2.0540
Tm 2.7698 1.7793 5.1427
Tm 0.0000 1.7767 7.1919
Tm 2.7698 -1.7793 5.1427
Tm 0.0000 -1.7767 7.1919
```

Values from the calculation:
magnetization = 0.11 μB per formula unit
ΔE_f = 0.02 eV per formula unit

***

(17)
Crystalline Fe2SnMo at its relaxed geometry, computed with PBE-GGA.

extended XYZ file:
```
4
Lattice="0.0000 3.0981 3.0981 3.0981 0.0000 3.0981 3.0981 3.0981 0.0000" Properties=species:S:1:pos:R:3 pbc="T T T"
Fe 0.0000 0.0000 0.0000
Fe 4.6472 4.6472 4.6472
Mo 1.5491 1.5491 1.5491
Sn 3.0981 3.0981 3.0981
```

Values from the calculation:
magnetization = 3.89 μB per formula unit
final energy = -7.60 eV per atom

***

(18)
Crystalline TbPPtO at its relaxed geometry, computed with PBE-GGA.

extended XYZ file:
```
8
Lattice="4.0647 -4.0647 0.0000 4.0647 4.0647 0.0000 0.0000 0.0000 4.4566" Properties=species:S:1:pos:R:3 pbc="T T T"
O 2.0324 -2.0324 0.0000
O 2.0324 2.0324 0.0000
P 0.0000 0.0000 2.2090
P 4.0647 0.0000 2.2475
Pt 4.0647 0.0000 0.0192
Pt 0.0000 0.0000 4.4374
Tb 2.0324 -2.0324 2.2283
Tb 2.0324 2.0324 2.2283
```

Values from the calculation:
magnetization = 0.00 μB per formula unit
final energy = -6.27 eV per atom

***

(19)
Crystalline Ta4SnBiN2 at its relaxed geometry, computed with PBE-GGA.

extended XYZ file:
```
8
Lattice="3.3556 0.0000 0.0000 -1.6778 2.9061 0.0000 0.0000 0.0000 13.3741" Properties=species:S:1:pos:R:3 pbc="T T T"
Bi 0.0000 0.0000 0.0000
N 0.0000 1.9374 3.3734
N 0.0000 1.9374 10.0007
Sn 1.6778 0.9687 6.6870
Ta 1.6778 0.9687 2.3772
Ta 0.0000 0.0000 4.4366
Ta 0.0000 0.0000 8.9374
Ta 1.6778 0.9687 10.9969
```

Values from the calculation:
magnetization = 0.01 μB per formula unit
final energy = -9.26 eV per atom

***

(20)
Crystalline BaCo2Ni at its relaxed geometry, computed with PBE-GGA.

extended XYZ file:
```
4
Lattice="0.0000 3.2519 3.2519 3.2519 0.0000 3.2519 3.2519 3.2519 0.0000" Properties=species:S:1:pos:R:3 pbc="T T T"
Ba 1.6260 1.6260 1.6260
Co 3.2519 3.2519 3.2519
Co 4.8779 4.8779 4.8779
Ni 0.0000 0.0000 0.0000
```

Values from the calculation:
magnetization = 2.81 μB per formula unit
final energy = -4.47 eV per atom

***

(21)
Crystalline NbFeSb at its relaxed geometry, computed with PBE-GGA.

extended XYZ file:
```
12
Lattice="4.7316 0.0000 0.0000 0.0000 4.2966 0.0000 0.0000 0.0000 9.9742" Properties=species:S:1:pos:R:3 pbc="T T T"
Fe 1.5486 3.2224 0.0425
Fe 3.9144 3.2224 4.9446
Fe 0.8172 1.0741 5.0296
Fe 3.1830 1.0741 9.9316
Nb 3.5658 3.2224 1.6539
Nb 1.2000 3.2224 3.3332
Nb 3.5316 1.0741 6.6410
Nb 1.1658 1.0741 8.3203
Sb 0.7986 1.0741 1.3076
Sb 3.1644 1.0741 3.6795
Sb 1.5672 3.2224 6.2947
Sb 3.9330 3.2224 8.6666
```

Values from the calculation:
magnetization = 1.15 μB per formula unit
final energy = -7.46 eV per atom

***

(22)
Crystalline LiPmPt at its relaxed geometry, computed with PBE-GGA.

extended XYZ file:
```
3
Lattice="-3.5866 -2.9968 -0.6011 -4.4170 1.6265 -0.2250 -2.3373 -0.0871 -4.0909" Properties=species:S:1:pos:R:3 pbc="T T T"
Li -2.5852 -0.3644 -1.2292
Pm 0.0000 0.0000 0.0000
Pt -7.7557 -1.0931 -3.6878
```

Values from the calculation:
magnetization = 0.00 μB per formula unit
final energy = -4.47 eV per atom

***

(23)
Crystalline PmTcNO at its relaxed geometry, computed with PBE-GGA.

extended XYZ file:
```
8
Lattice="-0.7373 -2.1992 3.1567 2.8081 -4.0256 -2.1486 4.5438 1.8976 2.3833" Properties=species:S:1:pos:R:3 pbc="T T T"
N 2.5330 -1.6201 -0.5370
N 4.7198 -0.5493 0.7197
O 0.2491 -1.6644 1.3292
O 4.4402 -3.4669 1.0524
Pm 2.4993 -1.2558 2.1394
Pm 6.1165 -2.2357 2.3017
Tc 4.3708 -2.0723 -0.4228
Tc 5.2398 0.8875 1.8422
```

Values from the calculation:
magnetization = 0.07 μB per formula unit
final energy = -8.24 eV per atom

***

(24)
Crystalline Li4CdCu2Si at its relaxed geometry, computed with PBE-GGA.

extended XYZ file:
```
8
Lattice="4.2004 0.0000 0.0000 0.0000 4.2004 0.0000 0.0000 0.0000 6.0175" Properties=species:S:1:pos:R:3 pbc="T T T"
Cd 2.1002 2.1002 3.0087
Cu 0.0000 2.1002 1.2816
Cu 2.1002 0.0000 4.7359
Li 2.1002 2.1002 0.0000
Li 2.1002 0.0000 1.4048
Li 0.0000 0.0000 3.0087
Li 0.0000 2.1002 4.6127
Si 0.0000 0.0000 0.0000
```

Values from the calculation:
final energy = -2.87 eV per atom